[1]
A plane-wave DFT calculation with GGA-PBE was carried out for SiWS3 after structural relaxation.

Cell lengths 4.6823, 4.6823, 4.6823 Å; angles 90.00, 90.00, 90.00 degrees
Atoms (fractional coordinates):
Si 0.0000 0.0000 0.0000
W 0.5000 0.5000 0.5000
S 0.0000 0.5000 0.5000
S 0.5000 0.0000 0.5000
S 0.5000 0.5000 0.0000

Summary:
E_form (uncorrected): 2.04 eV/f.u.
Fermi-level density of states: 5.00 states/eV/cell
Crystal system: cubic
SG: Pm-3m, No. 221



[2]
A plane-wave DFT calculation with GGA-PBE was carried out for Os2C after structural relaxation.

Cell lengths 10.1430, 10.1430, 10.1430 Å; angles 164.68, 164.29, 22.01 degrees
Atoms (fractional coordinates):
Os 0.3016 0.0516 0.2500
Os 0.4387 0.1887 0.2500
Os 0.5613 0.8113 0.7500
Os 0.6984 0.9484 0.7500
C 0.1032 0.3532 0.7500
C 0.8968 0.6468 0.2500

Summary:
Fermi-level density of states: 4.83 states/eV/cell
Crystal system: orthorhombic
SG: Imma, No. 74
E_form: 1.184 eV/atom



[3]
A plane-wave DFT calculation with GGA-PBE was carried out for LiBeReRu after structural relaxation.

Cell lengths 4.1161, 4.1161, 4.1161 Å; angles 60.00, 60.00, 60.00 degrees
Atoms (fractional coordinates):
Li 0.0000 0.0000 0.0000
Be 0.2500 0.2500 0.2500
Re 0.7500 0.7500 0.7500
Ru 0.5000 0.5000 0.5000

Summary:
Fermi-level density of states: 0.79 states/eV/cell
Crystal system: cubic
SG: F-43m, No. 216
E_form: -0.013 eV/atom